No. 1
Ni3C | the Alexandria database | PBE | optimized geometry; distance to the lowest polymorph of the same formula = 489 meV/atom; ΔH_f (0 K) = 2.20 eV per formula unit
1.0
2.478 0.000 0.000
0.000 2.478 0.000
0.000 0.000 6.056
Ni C
3 1
Direct
0.500 0.500 0.194 Ni
0.000 0.000 0.500 Ni
0.500 0.500 0.806 Ni
0.000 0.000 0.000 C

No. 2
Na4Al3Si7H8O24 | the Alexandria database | PBE | optimized geometry; DFT total energy = -6.610 eV/atom
1.0
-1.783 -2.580 5.851
-6.943 -2.075 -6.771
5.477 -6.705 -5.053
Na Al Si H O
4 3 7 8 24
Direct
0.558 0.933 0.443 Na
0.192 0.055 0.564 Na
0.373 0.561 0.937 Na
0.876 0.448 0.058 Na
0.321 0.577 0.315 Al
0.423 0.417 0.683 Al
0.491 0.920 0.814 Al
0.326 0.814 0.080 Si
0.430 0.189 0.919 Si
0.264 0.686 0.581 Si
0.996 0.311 0.413 Si
0.755 0.495 0.499 Si
0.004 0.002 0.999 Si
0.748 0.080 0.179 Si
0.691 0.592 0.214 H
0.885 0.407 0.786 H
0.853 0.899 0.707 H
0.268 0.114 0.298 H
0.840 0.702 0.131 H
0.016 0.303 0.877 H
0.894 0.797 0.614 H
0.504 0.205 0.398 H
0.271 0.654 0.146 O
0.474 0.352 0.860 O
0.361 0.850 0.641 O
0.865 0.147 0.341 O
0.580 0.544 0.362 O
0.666 0.445 0.634 O
0.783 0.949 0.862 O
0.946 0.052 0.132 O
0.552 0.930 0.192 O
0.425 0.080 0.807 O
0.371 0.578 0.695 O
0.092 0.417 0.298 O
0.109 0.870 0.059 O
0.193 0.141 0.960 O
0.988 0.632 0.548 O
0.799 0.356 0.447 O
0.727 0.607 0.123 O
0.999 0.398 0.878 O
0.874 0.891 0.615 O
0.382 0.113 0.390 O
0.325 0.695 0.435 O
0.188 0.297 0.560 O
0.374 0.804 0.934 O
0.640 0.193 0.070 O

No. 3
DyPuPtO6 | the Alexandria database | PBE | optimized geometry; formation energy from raw total energies = -2.229 eV per atom
1.0
-2.867 -0.226 4.512
4.322 -3.100 -0.582
5.730 7.236 4.003
Dy Pu Pt O
2 2 2 12
Direct
0.000 0.000 0.000 Dy
0.000 0.000 0.500 Dy
0.667 0.333 0.250 Pu
0.333 0.667 0.750 Pu
0.333 0.667 0.250 Pt
0.667 0.333 0.750 Pt
0.647 0.662 0.135 O
0.015 0.353 0.135 O
0.353 0.015 0.635 O
0.985 0.647 0.865 O
0.338 0.353 0.365 O
0.015 0.662 0.365 O
0.662 0.015 0.865 O
0.647 0.985 0.365 O
0.985 0.338 0.635 O
0.338 0.985 0.135 O
0.662 0.647 0.635 O
0.353 0.338 0.865 O

No. 4
Tb8Er5Tl | the Alexandria database | PBE | optimized geometry; ΔH_f (0 K) = 2.74 eV per formula unit
1.0
7.979 0.000 -2.621
-4.039 6.774 -2.889
0.099 0.000 8.398
Tb Er Tl
8 5 1
Direct
0.166 0.729 0.070 Tb
0.930 0.096 0.659 Tb
0.734 0.258 0.341 Tb
0.659 0.393 0.917 Tb
0.524 0.607 0.266 Tb
0.563 0.904 0.834 Tb
0.341 0.271 0.437 Tb
0.083 0.742 0.476 Tb
0.021 0.308 0.126 Er
0.874 0.895 0.182 Er
0.818 0.692 0.714 Er
0.500 0.000 0.500 Er
0.286 0.105 0.979 Er
0.250 0.500 0.750 Tl

no.,N(E_F) (states/eV per atom)
1,1.166
2,0.068
3,1.043
4,1.360